The following is a DFT calculation (GGA-PBE) of a relaxed structure of AcPr2YEr5.

Calculated values
Energy of formation from the pure elements: 0.257 eV per atom
Total magnetic moment: 0.00 μB per atom
Calculated volume: 304.95 Å³/f.u.

abc: 8.838 8.838 10.002
angles: 116.22 116.22 90.00
Atoms (fractional coordinates):
Pr  0.883  0.617  0.000
Er  0.074  0.574  0.732
Pr  0.383  0.883  0.000
Y  0.250  0.750  0.500
Er  0.343  0.843  0.268
Pr  0.117  0.383  0.000
Er  0.000  0.000  0.000
Y  0.750  0.250  0.500
Er  0.657  0.157  0.732
Er  0.426  0.343  0.268
Er  0.843  0.926  0.268
Er  0.157  0.074  0.732
Er  0.926  0.426  0.268
Ac  0.250  0.250  0.500
Ac  0.750  0.750  0.500
Er  0.500  0.500  0.000
Er  0.574  0.657  0.732
Pr  0.617  0.117  0.000

---

The following is a DFT calculation (GGA-PBE) of a relaxed structure of AcPrY2Er.

Calculated values
Energy of formation from the pure elements: 0.394 eV per atom
Total magnetic moment: 0.00 μB per atom
Calculated volume: 187.49 Å³/f.u.

abc: 6.506 6.510 9.433
angles: 110.19 90.00 90.00
Atoms (fractional coordinates):
Er  0.750  0.750  0.499
Ac  0.250  0.659  0.319
Y  0.000  0.752  0.000
Pr  0.750  0.154  0.308
Ac  0.750  0.341  0.681
Y  0.500  0.752  0.000
Y  0.500  0.248  0.000
Y  0.000  0.248  0.000
Pr  0.250  0.846  0.692
Er  0.250  0.250  0.501

---

The following is a DFT calculation (GGA-PBE) of a relaxed structure of AcPr2Y2Er2.

Calculated values
Energy of formation from the pure elements: 0.041 eV per atom
Total magnetic moment: 0.00 μB per atom
Calculated volume: 242.23 Å³/f.u.

abc: 5.168 6.346 8.180
angles: 97.90 90.00 114.03
Atoms (fractional coordinates):
Ac  0.000  0.000  0.000
Er  0.574  0.148  0.705
Y  0.858  0.716  0.568
Pr  0.715  0.431  0.150
Er  0.426  0.852  0.295
Y  0.142  0.284  0.432
Pr  0.285  0.569  0.850

---

The following is a DFT calculation (GGA-PBE) of a relaxed structure of AcPr2YEr.

Calculated values
Energy of formation from the pure elements: 0.359 eV per atom
Total magnetic moment: 0.00 μB per atom
Calculated volume: 192.75 Å³/f.u.

abc: 7.423 8.510 7.440
angles: 124.88 90.00 90.00
Atoms (fractional coordinates):
Ac  0.250  0.756  0.512
Ac  0.750  0.244  0.488
Y  0.250  0.047  0.094
Y  0.750  0.953  0.906
Pr  0.000  0.305  0.000
Er  0.750  0.697  0.393
Pr  0.000  0.695  0.000
Pr  0.500  0.695  0.000
Er  0.250  0.303  0.607
Pr  0.500  0.305  0.000

---

The following is a DFT calculation (GGA-PBE) of a relaxed structure of AcPrY5Er2.

Calculated values
Energy of formation from the pure elements: 0.161 eV per atom
Total magnetic moment: 0.00 μB per atom
Calculated volume: 313.70 Å³/f.u.

abc: 5.599 12.179 9.453
angles: 90.00 90.00 103.29
Atoms (fractional coordinates):
Y  0.007  0.014  0.527
Y  0.742  0.484  0.859
Y  0.311  0.623  0.729
Er  0.887  0.775  0.793
Y  0.993  0.986  0.027
Pr  0.764  0.528  0.534
Ac  0.398  0.796  0.427
Er  0.831  0.662  0.171
Y  0.525  0.051  0.250
Pr  0.236  0.472  0.034
Er  0.169  0.338  0.671
Y  0.689  0.377  0.229
Ac  0.602  0.204  0.927
Y  0.603  0.205  0.534
Er  0.113  0.225  0.293
Y  0.258  0.516  0.359
Y  0.475  0.949  0.750
Y  0.397  0.795  0.034

---

The following is a DFT calculation (GGA-PBE) of a relaxed structure of AcPr2Y6Er.

Calculated values
Energy of formation from the pure elements: 0.099 eV per atom
Total magnetic moment: 0.00 μB per atom
Calculated volume: 347.64 Å³/f.u.

abc: 9.613 9.617 7.520
angles: 90.00 89.98 90.00
Atoms (fractional coordinates):
Pr  0.173  0.174  0.751
Y  0.826  0.827  0.750
Y  0.883  0.130  0.501
Y  0.617  0.630  0.999
Er  0.500  0.000  0.000
Y  0.174  0.173  0.250
Y  0.370  0.382  0.501
Y  0.117  0.870  0.499
Er  0.000  0.500  0.500
Pr  0.827  0.826  0.249
Pr  0.673  0.326  0.251
Ac  0.500  0.000  0.500
Y  0.674  0.327  0.750
Pr  0.327  0.674  0.749
Y  0.870  0.118  0.001
Y  0.130  0.882  0.999
Y  0.326  0.673  0.250
Y  0.630  0.618  0.499
Y  0.383  0.370  0.001
Ac  0.000  0.500  0.000

---

The following is a DFT calculation (GGA-PBE) of a relaxed structure of AcPrErZn.

Calculated values
Energy of formation from the pure elements: 0.174 eV per atom
Total magnetic moment: 0.00 μB per atom
Calculated volume: 123.53 Å³/f.u.

abc: 5.590 5.590 5.590
angles: 60.00 60.00 60.00
Atoms (fractional coordinates):
Zn  0.000  0.000  0.000
Ac  0.500  0.500  0.500
Pr  0.250  0.250  0.250
Er  0.750  0.750  0.750

---

The following is a DFT calculation (GGA-PBE) of a relaxed structure of Ac2ErPt9.

Calculated values
Energy of formation from the pure elements: -0.858 eV per atom
Total magnetic moment: 0.00 μB per atom
Calculated volume: 238.91 Å³/f.u.

abc: 5.499 5.499 9.660
angles: 73.46 73.46 60.00
Atoms (fractional coordinates):
Ac  0.862  0.862  0.414
Pt  0.583  0.079  0.754
Pt  0.079  0.583  0.754
Pt  0.333  0.333  0.001
Pt  0.583  0.583  0.754
Pt  0.500  0.500  0.500
Ac  0.138  0.138  0.586
Er  0.000  0.000  0.000
Pt  0.667  0.667  0.999
Pt  0.417  0.417  0.246
Pt  0.921  0.417  0.246
Pt  0.417  0.921  0.246

---

The following is a DFT calculation (GGA-PBE) of a relaxed structure of Ac2ErPt2.

Calculated values
Energy of formation from the pure elements: -0.962 eV per atom
Total magnetic moment: 0.00 μB per atom
Calculated volume: 154.48 Å³/f.u.

abc: 6.519 7.785 7.785
angles: 64.10 65.25 65.25
Atoms (fractional coordinates):
Ac  0.653  0.706  0.987
Er  0.250  0.500  0.500
Ac  0.153  0.987  0.706
Pt  0.400  0.853  0.346
Er  0.750  0.500  0.500
Pt  0.100  0.654  0.147
Ac  0.347  0.294  0.013
Pt  0.900  0.346  0.853
Ac  0.847  0.013  0.294
Pt  0.600  0.147  0.654

---

The following is a DFT calculation (GGA-PBE) of a relaxed structure of AcEr2Pt9.

Calculated values
Energy of formation from the pure elements: -0.975 eV per atom
Total magnetic moment: 0.00 μB per atom
Calculated volume: 229.17 Å³/f.u.

abc: 5.475 5.475 9.376
angles: 73.02 73.02 60.00
Atoms (fractional coordinates):
Pt  0.919  0.411  0.260
Pt  0.411  0.411  0.260
Er  0.859  0.859  0.424
Pt  0.667  0.667  0.998
Pt  0.333  0.333  0.002
Ac  0.000  0.000  0.000
Pt  0.411  0.919  0.260
Pt  0.589  0.081  0.740
Pt  0.081  0.589  0.740
Pt  0.500  0.500  0.500
Er  0.141  0.141  0.576
Pt  0.589  0.589  0.740